Below is NaCaZrGa2 after structural relaxation, with properties calculated at the GGA-PBE level.

Results
- DOS(E_F) (states/eV/cell) = 2.6
- ΔH_f (0 K) (eV per atom) = 0.70
- DFT total energy (eV per atom) = -2.887
- crystal system = tetragonal
- calculated volume (A^3/atom) = 24.20

Geometry as CIF:
```
data_NaCaZrGa2
_cell_length_a 4.971
_cell_length_b 4.971
_cell_length_c 4.897
_cell_angle_alpha 90.00
_cell_angle_beta 90.00
_cell_angle_gamma 90.00
_symmetry_space_group_name_H-M 'P 4/m m m'
_symmetry_Int_Tables_number 123
_symmetry_space_group_name_Hall '-P 4 2'
loop_
_atom_site_label
_atom_site_type_symbol
_atom_site_fract_x
_atom_site_fract_y
_atom_site_fract_z
_atom_site_occupancy
Na1 Na 0.000 0.000 0.000 1
Ca1 Ca 0.000 0.000 0.500 1
Zr1 Zr 0.500 0.500 0.500 1
Ga1 Ga 0.000 0.500 0.000 1
```